1.
HgMo2Ir | Alexandria | GGA-PBEsol | optimized geometry; raw total energy = -8.308 eV per atom
1.0
-1.7186 1.8195 1.2224
-1.9492 -0.5580 -1.9099
-2.9910 -6.0667 4.8250
Mo Hg Ir
2 1 1
Direct
0.5000 0.5000 0.2392
0.0000 0.0000 0.9797
0.0000 0.0000 0.5073
0.5000 0.5000 0.7738

=====

2.
BiB3Pd | Alexandria | GGA-PBEsol | optimized geometry; raw total energy = -4.911 eV per atom
1.0
4.1790 0.0000 0.0000
0.0000 4.1790 0.0000
0.0000 0.0000 4.1790
B Pd Bi
3 1 1
Direct
0.0000 0.5000 0.0000
0.0000 0.0000 0.5000
0.5000 0.0000 0.0000
0.0000 0.0000 0.0000
0.5000 0.5000 0.5000

=====

3.
InC3 | Alexandria | GGA-PBEsol | optimized geometry; raw total energy = -4.678 eV per atom; relative energy among the computed polymorphs = 1041 meV/atom
1.0
-2.2457 2.6630 1.3727
2.0059 -2.2935 2.6247
2.9111 1.5341 1.7864
C In
3 1
Direct
0.5000 0.0000 0.5000
0.2500 0.5000 0.2500
0.7500 0.5000 0.7500
0.0000 0.0000 0.0000

=====

4.
SrLiHf2P | Alexandria | GGA-PBEsol | optimized geometry; raw total energy = -6.126 eV per atom
1.0
-4.4174 0.7677 1.9215
-1.9137 -3.4549 -3.0191
0.8858 -3.4878 3.4298
Sr Hf Li P
1 2 1 1
Direct
0.5000 0.5000 0.5000
0.0000 0.0000 0.5000
0.0000 0.5000 0.0000
0.5000 0.0000 0.0000
0.0000 0.0000 0.0000

=====

5.
CdRh2Pb | Alexandria | GGA-PBEsol | optimized geometry; raw total energy = -5.425 eV per atom
1.0
-1.4056 -2.6473 -3.4362
0.3264 -4.5357 0.3355
-3.7659 -2.5287 0.4633
Rh Pb Cd
2 1 1
Direct
0.2500 0.2500 0.2500
0.7500 0.7500 0.7500
0.5000 0.5000 0.5000
0.0000 0.0000 0.0000

=====

6.
LaSnP2O | Alexandria | GGA-PBEsol | optimized geometry; raw total energy = -5.879 eV per atom; uncorrected formation energy = -0.59 eV/atom
1.0
-0.1975 3.9546 1.0560
-4.4895 0.3582 -2.1809
-2.1969 -1.2620 4.3152
La P O Sn
1 2 1 1
Direct
0.5000 0.5000 0.5000
0.0000 0.0000 0.5000
0.0000 0.5000 0.0000
0.5000 0.0000 0.0000
0.0000 0.0000 0.0000

=====

7.
PtSe2Cl | Alexandria | GGA-PBEsol | optimized geometry; raw total energy = -4.519 eV per atom; uncorrected formation energy = -0.35 eV/atom; relative energy among the computed polymorphs = 0 meV/atom
1.0
-3.4797 1.2713 -0.4053
0.7923 -2.3884 2.8397
1.7115 5.7379 3.3034
Se Cl Pt
2 1 1
Direct
0.6869 0.3738 0.6860
0.3131 0.6262 0.3140
0.5000 0.0000 0.0000
0.0000 0.0000 0.5000

=====

8.
LaScGe | Alexandria | GGA-PBEsol | optimized geometry; raw total energy = -6.366 eV per atom
1.0
4.3057 0.0000 0.0000
0.0000 4.3057 0.0000
-2.1529 -2.1529 8.0183
Ge Sc La
2 2 2
Direct
0.8808 0.8808 0.7615
0.1192 0.1192 0.2385
0.0000 0.5000 0.0000
0.5000 0.0000 0.0000
0.3227 0.3227 0.6453
0.6773 0.6773 0.3547

=====

9.
MgSc2Cu | Alexandria | GGA-PBEsol | optimized geometry; raw total energy = -4.879 eV per atom
1.0
-1.7083 1.7851 -2.4122
1.3257 -3.1203 -3.2478
-3.8588 -2.5328 0.8583
Sc Cu Mg
2 1 1
Direct
0.0000 0.5000 0.0000
0.0000 0.0000 0.5000
0.5000 0.5000 0.5000
0.5000 0.0000 0.0000

=====

10.
PbF2 | Alexandria | GGA-PBEsol | optimized geometry; raw total energy = -4.978 eV per atom; uncorrected formation energy = -2.36 eV/atom
1.0
-3.8558 0.0703 1.5669
-2.7969 -2.8284 -1.2265
-1.2333 -2.9831 2.6282
F Pb
2 1
Direct
0.2500 0.2500 0.2500
0.7500 0.7500 0.7500
0.5000 0.5000 0.5000

=====

11.
TiTe3Ir | Alexandria | GGA-PBEsol | optimized geometry; raw total energy = -4.818 eV per atom; uncorrected formation energy = 0.93 eV/atom
1.0
5.0637 0.0000 0.0000
0.0000 5.0637 0.0000
0.0000 0.0000 5.0637
Te Ti Ir
3 1 1
Direct
0.5000 0.0000 0.0000
0.0000 0.5000 0.0000
0.0000 0.0000 0.5000
0.0000 0.0000 0.0000
0.5000 0.5000 0.5000

=====

12.
KAgRu2 | Alexandria | GGA-PBEsol | optimized geometry; raw total energy = -5.079 eV per atom; relative energy among the computed polymorphs = 381 meV/atom
1.0
-1.1511 -2.4429 -0.4253
3.0731 -0.7090 -4.2457
2.6217 -0.6278 5.2968
Ru Ag K
2 1 1
Direct
0.9603 0.9603 0.9207
0.2690 0.7690 0.5380
0.5280 0.5280 0.0561
0.7426 0.2426 0.4853

=====

13.
BeCoNiBr2 | Alexandria | GGA-PBEsol | optimized geometry; raw total energy = -3.321 eV per atom; uncorrected formation energy = 1.01 eV/atom
1.0
-2.8571 2.1726 1.8144
-2.2833 0.2605 -3.9073
-2.2283 -3.8059 1.0483
Br Co Be Ni
2 1 1 1
Direct
0.0000 0.5000 0.0000
0.0000 0.0000 0.5000
0.5000 0.0000 0.0000
0.0000 0.0000 0.0000
0.5000 0.5000 0.5000

=====

14.
BeGeB3 | Alexandria | GGA-PBEsol | optimized geometry; raw total energy = -4.426 eV per atom
1.0
3.7189 0.0000 0.0000
0.0000 3.7189 0.0000
0.0000 0.0000 3.7189
B Ge Be
3 1 1
Direct
0.0000 0.0000 0.5000
0.0000 0.5000 0.0000
0.5000 0.0000 0.0000
0.5000 0.5000 0.5000
0.0000 0.0000 0.0000

=====

15.
MgTaOF2 | Alexandria | GGA-PBEsol | optimized geometry; raw total energy = -6.431 eV per atom; uncorrected formation energy = -1.76 eV/atom
1.0
3.9103 0.0000 0.0000
0.0000 4.3049 0.0000
0.0000 0.0000 4.3049
Ta F O Mg
1 2 1 1
Direct
0.0000 0.0000 0.0000
0.0000 0.0000 0.5000
0.0000 0.5000 0.0000
0.5000 0.0000 0.0000
0.5000 0.5000 0.5000

=====

16.
Cd2In | Alexandria | GGA-PBEsol | optimized geometry; raw total energy = -1.765 eV per atom
1.0
-2.6899 -1.2288 1.4907
2.4929 -3.0194 2.0093
0.7346 4.9793 1.7513
Cd In
2 1
Direct
0.3326 0.3326 0.6652
0.6674 0.6674 0.3348
0.0000 0.0000 0.0000

=====

17.
RbLaRh2 | Alexandria | GGA-PBEsol | optimized geometry; raw total energy = -5.262 eV per atom
1.0
-4.8996 0.1429 -0.9624
-2.3317 -4.0780 -1.6986
-3.1970 -2.4590 2.9471
La Rh Rb
1 2 1
Direct
0.5000 0.5000 0.5000
0.7500 0.7500 0.7500
0.2500 0.2500 0.2500
0.0000 0.0000 0.0000

=====

18.
ZrAgH3 | Alexandria | GGA-PBEsol | optimized geometry; raw total energy = -4.408 eV per atom
1.0
-0.4839 3.3861 1.5743
-1.9870 1.1106 -2.9994
-3.1616 -1.2162 1.6441
H Zr Ag
3 1 1
Direct
0.0000 0.5000 0.0000
0.5000 0.0000 0.0000
0.0000 0.0000 0.5000
0.0000 0.0000 0.0000
0.5000 0.5000 0.5000

=====

19.
RbNaNb3 | Alexandria | GGA-PBEsol | optimized geometry; raw total energy = -4.373 eV per atom
1.0
-0.3440 -3.8863 -3.0709
3.4971 -2.3705 2.6082
-3.5077 -1.9822 2.9015
Rb Nb Na
1 3 1
Direct
0.5000 0.5000 0.5000
0.0000 0.0000 0.5000
0.0000 0.5000 0.0000
0.5000 0.0000 0.0000
0.0000 0.0000 0.0000

=====

20.
Mg2TiSbC | Alexandria | GGA-PBEsol | optimized geometry; raw total energy = -3.263 eV per atom; uncorrected formation energy = 1.93 eV/atom
1.0
5.0332 0.0000 0.0000
0.0000 5.4164 0.0000
0.0000 0.0000 5.4164
C Mg Sb Ti
1 2 1 1
Direct
0.5000 0.5000 0.5000
0.0000 0.5000 0.0000
0.0000 0.0000 0.5000
0.5000 0.0000 0.0000
0.0000 0.0000 0.0000

=====

21.
Li2WI | Alexandria | GGA-PBEsol | optimized geometry; raw total energy = -3.908 eV per atom; uncorrected formation energy = 0.97 eV/atom
1.0
5.2348 0.0000 0.0000
2.6174 5.2750 0.0000
2.6174 0.0000 5.2750
W I Li
2 2 4
Direct
0.0000 0.0000 0.0000
0.7500 0.5000 0.5000
0.2500 0.5000 0.5000
0.5000 0.0000 0.0000
0.6108 0.5142 0.0142
0.1392 0.4858 0.9858
0.8750 0.9858 0.5142
0.3750 0.0142 0.4858

=====

22.
LaReSb | Alexandria | GGA-PBEsol | optimized geometry; raw total energy = -6.476 eV per atom; uncorrected formation energy = 1.27 eV/atom; relative energy among the computed polymorphs = 1259 meV/atom
1.0
-4.5414 1.7214 -0.6394
-3.6370 -3.0628 -1.1780
-3.4933 -1.0293 3.2763
Re Sb La
1 1 1
Direct
0.0000 0.0000 0.0000
0.5000 0.5000 0.5000
0.2500 0.2500 0.2500

=====

23.
Tl2HgMo | Alexandria | GGA-PBEsol | optimized geometry; raw total energy = -3.847 eV per atom; relative energy among the computed polymorphs = 33 meV/atom
1.0
2.8971 0.0000 0.0000
0.0000 4.8493 0.0000
-1.4486 -2.4247 6.9309
Hg Tl Mo
1 2 1
Direct
0.5000 0.0000 0.0000
0.6807 0.6807 0.3615
0.3193 0.3193 0.6385
0.0000 0.5000 0.0000

=====

24.
MgHgGeN2 | Alexandria | GGA-PBEsol | optimized geometry; raw total energy = -3.933 eV per atom; uncorrected formation energy = 0.92 eV/atom
1.0
-0.0417 -2.1630 -3.1339
-2.5904 -2.2811 1.6088
-4.0244 3.0993 -2.0856
N Hg Ge Mg
2 1 1 1
Direct
0.5000 0.0000 0.0000
0.0000 0.5000 0.0000
0.0000 0.0000 0.5000
0.0000 0.0000 0.0000
0.5000 0.5000 0.5000

=====

25.
Ge3IrPd | Alexandria | GGA-PBEsol | optimized geometry; raw total energy = -5.652 eV per atom
1.0
4.6979 0.0000 0.0000
0.0000 4.6979 0.0000
0.0000 0.0000 4.6979
Pd Ge Ir
1 3 1
Direct
0.5000 0.5000 0.5000
0.5000 0.0000 0.0000
0.0000 0.0000 0.5000
0.0000 0.5000 0.0000
0.0000 0.0000 0.0000

=====

26.
Ti2TlPdBr | Alexandria | GGA-PBEsol | optimized geometry; raw total energy = -4.386 eV per atom; uncorrected formation energy = 1.03 eV/atom; relative energy among the computed polymorphs = 294 meV/atom
1.0
4.9368 0.0000 0.0000
0.0000 5.1851 0.0000
0.0000 0.0000 5.1851
Ti Pd Br Tl
2 1 1 1
Direct
0.0000 0.0000 0.5000
0.0000 0.5000 0.0000
0.5000 0.0000 0.0000
0.5000 0.5000 0.5000
0.0000 0.0000 0.0000

=====

27.
CuAuSe4 | Alexandria | GGA-PBEsol | optimized geometry; raw total energy = -4.033 eV per atom; uncorrected formation energy = -0.09 eV/atom
1.0
-1.6199 -0.3676 3.8235
6.8042 -1.1897 2.7683
1.0469 7.9529 0.8448
Au Se Cu
2 8 2
Direct
0.5000 0.5000 0.0000
0.5000 0.0000 0.0000
0.9356 0.7500 0.3636
0.8756 0.7500 0.9372
0.0644 0.2500 0.6364
0.1244 0.2500 0.0628
0.5753 0.0055 0.3080
0.4247 0.9945 0.6920
0.4247 0.5055 0.6920
0.5753 0.4945 0.3080
0.9777 0.2500 0.3454
0.0223 0.7500 0.6546

=====

28.
KNi | Alexandria | GGA-PBEsol | optimized geometry; raw total energy = -2.555 eV per atom
1.0
2.9093 0.0000 0.0000
1.4547 2.5195 0.0000
1.4547 0.8398 5.1136
Ni K
1 1
Direct
0.5000 0.5000 0.5000
0.0000 0.0000 0.0000

=====

29.
KZrAlBr2 | Alexandria | GGA-PBEsol | optimized geometry; raw total energy = -2.885 eV per atom; uncorrected formation energy = 0.73 eV/atom
1.0
-4.7252 2.7505 -0.1527
-2.1800 -3.5482 3.5460
1.7488 3.2443 4.3214
K Br Zr Al
1 2 1 1
Direct
0.0000 0.0000 0.0000
0.5000 0.0000 0.0000
0.0000 0.5000 0.0000
0.5000 0.5000 0.5000
0.0000 0.0000 0.5000

=====

Number 1: M_tot 0.00 μB/f.u.. Number 2: M_tot 0.00 μB/f.u.. Number 3: M_tot 0.00 μB/f.u.. Number 4: M_tot 0.00 μB/f.u.. Number 5: M_tot 0.00 μB/f.u.. Number 6: M_tot 0.00 μB/f.u.. Number 7: M_tot 0.00 μB/f.u.. Number 8: M_tot 0.22 μB/f.u.. Number 9: M_tot 0.00 μB/f.u.. Number 10: M_tot 0.00 μB/f.u.. Number 11: M_tot 0.00 μB/f.u.. Number 12: M_tot 0.01 μB/f.u.. Number 13: M_tot 1.42 μB/f.u.. Number 14: M_tot 0.00 μB/f.u.. Number 15: M_tot 1.27 μB/f.u.. Number 16: M_tot 0.00 μB/f.u.. Number 17: M_tot 0.00 μB/f.u.. Number 18: M_tot 0.00 μB/f.u.. Number 19: M_tot 0.35 μB/f.u.. Number 20: M_tot 2.66 μB/f.u.. Number 21: M_tot 0.00 μB/f.u.. Number 22: M_tot 1.35 μB/f.u.. Number 23: M_tot 0.82 μB/f.u.. Number 24: M_tot 0.49 μB/f.u.. Number 25: M_tot 0.00 μB/f.u.. Number 26: M_tot 2.78 μB/f.u.. Number 27: M_tot 0.00 μB/f.u.. Number 28: M_tot 0.06 μB/f.u.. Number 29: M_tot 2.39 μB/f.u..